No. 1
Below is a geometry-optimized TaIr3 structure, with properties calculated at the PBE level.

Results
final energy	-10.2897	eV per atom
E_form	-2.7	eV per formula unit
SG	Pm-3m, No. 221
magnetic moment	0.00	Bohr magnetons per cell

Cell and atoms, written as CIF:
```
data_TaIr3
_chemical_formula_sum 'Ta1 Ir3'
_space_group_name_H-M_alt 'P 1'
_space_group_IT_number 1
_cell_length_a 3.925
_cell_length_b 3.925
_cell_length_c 3.925
_cell_angle_alpha 90.00
_cell_angle_beta 90.00
_cell_angle_gamma 90.00
loop_
_space_group_symop_operation_xyz
'x,y,z'
loop_
_atom_site_label
_atom_site_fract_x
_atom_site_fract_y
_atom_site_fract_z
_atom_site_occupancy
Ir1 0.500 0.000 0.500 1
Ir2 0.000 0.000 0.000 1
Ir3 0.000 0.500 0.500 1
Ta1 0.500 0.500 0.000 1
```

No. 2
Below is a geometry-optimized ZrPaTcMo structure, with properties calculated at the PBE level.

Results
final energy	-9.9803	eV per atom
E_form	-0.7	eV per formula unit
SG	F-43m, No. 216
magnetic moment	0.00	Bohr magnetons per cell

Cell and atoms, written as CIF:
```
data_ZrPaTcMo
_chemical_formula_sum 'Zr1 Pa1 Tc1 Mo1'
_space_group_name_H-M_alt 'P 1'
_space_group_IT_number 1
_cell_length_a 4.778
_cell_length_b 4.778
_cell_length_c 4.778
_cell_angle_alpha 60.00
_cell_angle_beta 60.00
_cell_angle_gamma 60.00
loop_
_space_group_symop_operation_xyz
'x,y,z'
loop_
_atom_site_label
_atom_site_fract_x
_atom_site_fract_y
_atom_site_fract_z
_atom_site_occupancy
Zr1 0.750 0.750 0.750 1
Pa1 0.250 0.250 0.250 1
Mo1 0.500 0.500 0.500 1
Tc1 0.000 0.000 0.000 1
```

No. 3
Below is a geometry-optimized Li2MgAlO structure, with properties calculated at the PBE level.

Results
final energy	-2.1978	eV per atom
SG	P4/mmm, No. 123
magnetic moment	2.17	Bohr magnetons per cell
E_form (uncorrected)	0.627	eV/atom

Cell and atoms, written as CIF:
```
data_Li2MgAlO
_chemical_formula_sum 'Li2 Mg1 Al1 O1'
_space_group_name_H-M_alt 'P 1'
_space_group_IT_number 1
_cell_length_a 4.927
_cell_length_b 4.927
_cell_length_c 5.227
_cell_angle_alpha 90.00
_cell_angle_beta 90.00
_cell_angle_gamma 90.00
loop_
_space_group_symop_operation_xyz
'x,y,z'
loop_
_atom_site_label
_atom_site_fract_x
_atom_site_fract_y
_atom_site_fract_z
_atom_site_occupancy
O1 0.500 0.500 0.500 1
Al1 0.000 0.000 0.000 1
Li1 0.500 0.000 0.000 1
Li2 0.000 0.500 0.000 1
Mg1 0.000 0.000 0.500 1
```

No. 4
Below is a geometry-optimized Ce2ErGe2Pd2 structure, with properties calculated at the PBE level.

Results
final energy	-5.9216	eV per atom
E_form	-5.4	eV per formula unit
SG	R-3m, No. 166
magnetic moment	1.28	Bohr magnetons per cell

Cell and atoms, written as CIF:
```
data_Ce2ErGe2Pd2
_chemical_formula_sum 'Ce2 Er1 Ge2 Pd2'
_space_group_name_H-M_alt 'P 1'
_space_group_IT_number 1
_cell_length_a 4.382
_cell_length_b 4.382
_cell_length_c 9.144
_cell_angle_alpha 76.14
_cell_angle_beta 76.14
_cell_angle_gamma 60.00
loop_
_space_group_symop_operation_xyz
'x,y,z'
loop_
_atom_site_label
_atom_site_fract_x
_atom_site_fract_y
_atom_site_fract_z
_atom_site_occupancy
Ge1 0.263 0.263 0.212 1
Ge2 0.737 0.737 0.788 1
Er1 0.000 0.000 0.000 1
Pd1 0.598 0.598 0.205 1
Pd2 0.402 0.402 0.795 1
Ce1 0.138 0.138 0.586 1
Ce2 0.862 0.862 0.414 1
```

No. 5
Below is a geometry-optimized KLaFe structure, with properties calculated at the PBE level.

Results
final energy	-4.1357	eV per atom
E_form	2.1	eV per formula unit
SG	P3m1, No. 156
magnetic moment	1.70	Bohr magnetons per cell
relative energy among the computed polymorphs	27	kJ/mol of formula units

Cell and atoms, written as CIF:
```
data_KLaFe
_chemical_formula_sum 'K1 La1 Fe1'
_space_group_name_H-M_alt 'P 1'
_space_group_IT_number 1
_cell_length_a 3.807
_cell_length_b 3.807
_cell_length_c 8.180
_cell_angle_alpha 90.00
_cell_angle_beta 90.00
_cell_angle_gamma 120.00
loop_
_space_group_symop_operation_xyz
'x,y,z'
loop_
_atom_site_label
_atom_site_fract_x
_atom_site_fract_y
_atom_site_fract_z
_atom_site_occupancy
Fe1 0.000 0.000 0.965 1
La1 0.333 0.667 0.756 1
K1 0.667 0.333 0.279 1
```

No. 6
Below is a geometry-optimized Pr3Ti2Ge4 structure, with properties calculated at the PBE level.

Results
final energy	-6.0658	eV per atom
E_form	-6.0	eV per formula unit
SG	C2/m, No. 12
magnetic moment	0.90	Bohr magnetons per cell

Cell and atoms, written as CIF:
```
data_Pr3Ti2Ge4
_chemical_formula_sum 'Pr3 Ti2 Ge4'
_space_group_name_H-M_alt 'P 1'
_space_group_IT_number 1
_cell_length_a 4.160
_cell_length_b 6.479
_cell_length_c 8.758
_cell_angle_alpha 109.47
_cell_angle_beta 90.00
_cell_angle_gamma 108.72
loop_
_space_group_symop_operation_xyz
'x,y,z'
loop_
_atom_site_label
_atom_site_fract_x
_atom_site_fract_y
_atom_site_fract_z
_atom_site_occupancy
Ge1 0.712 0.425 0.073 1
Ge2 0.288 0.575 0.927 1
Ge3 0.085 0.169 0.409 1
Ge4 0.915 0.831 0.591 1
Pr1 0.000 0.000 0.000 1
Pr2 0.386 0.771 0.301 1
Pr3 0.614 0.229 0.699 1
Ti1 0.304 0.609 0.630 1
Ti2 0.696 0.391 0.370 1
```

No. 7
Below is a geometry-optimized PmSm2Y structure, with properties calculated at the PBE level.

Results
final energy	-5.1462	eV per atom
E_form	0.1	eV per formula unit
SG	P4/mmm, No. 123
magnetic moment	0.00	Bohr magnetons per cell
relative energy among the computed polymorphs	3	kJ/mol of formula units

Cell and atoms, written as CIF:
```
data_PmSm2Y
_chemical_formula_sum 'Pm1 Sm2 Y1'
_space_group_name_H-M_alt 'P 1'
_space_group_IT_number 1
_cell_length_a 5.124
_cell_length_b 5.114
_cell_length_c 5.114
_cell_angle_alpha 90.00
_cell_angle_beta 90.00
_cell_angle_gamma 90.00
loop_
_space_group_symop_operation_xyz
'x,y,z'
loop_
_atom_site_label
_atom_site_fract_x
_atom_site_fract_y
_atom_site_fract_z
_atom_site_occupancy
Pm1 0.500 0.500 0.500 1
Sm1 0.000 0.500 0.000 1
Sm2 0.000 0.000 0.500 1
Y1 0.500 0.000 0.000 1
```

No. 8
Below is a geometry-optimized Rb2UPbSe5 structure, with properties calculated at the PBE level.

Results
final energy	-4.7325	eV per atom
SG	Cmc2_1, No. 36
magnetic moment	0.53	Bohr magnetons per cell
E_form (uncorrected)	-0.915	eV/atom

Cell and atoms, written as CIF:
```
data_Rb2UPbSe5
_chemical_formula_sum 'Rb4 U2 Pb2 Se10'
_space_group_name_H-M_alt 'P 1'
_space_group_IT_number 1
_cell_length_a 4.365
_cell_length_b 9.681
_cell_length_c 15.695
_cell_angle_alpha 90.00
_cell_angle_beta 90.00
_cell_angle_gamma 103.03
loop_
_space_group_symop_operation_xyz
'x,y,z'
loop_
_atom_site_label
_atom_site_fract_x
_atom_site_fract_y
_atom_site_fract_z
_atom_site_occupancy
U1 0.216 0.433 0.026 1
U2 0.784 0.567 0.526 1
Se1 0.079 0.158 0.066 1
Se2 0.921 0.842 0.566 1
Se3 0.494 0.989 0.778 1
Se4 0.728 0.456 0.136 1
Se5 0.506 0.011 0.278 1
Se6 0.692 0.383 0.915 1
Se7 0.308 0.617 0.415 1
Se8 0.649 0.297 0.492 1
Se9 0.272 0.544 0.636 1
Se10 0.351 0.703 0.992 1
Rb1 0.909 0.818 0.164 1
Rb2 0.091 0.182 0.664 1
Rb3 0.143 0.286 0.302 1
Rb4 0.857 0.714 0.802 1
Pb1 0.465 0.931 0.443 1
Pb2 0.535 0.069 0.943 1
```

What did the first record say?
Below is a geometry-optimized TaIr3 structure, with properties calculated at the PBE level.

Results
final energy	-10.2897	eV per atom
E_form	-2.7	eV per formula unit
SG	Pm-3m, No. 221
magnetic moment	0.00	Bohr magnetons per cell

Cell and atoms, written as CIF:
```
data_TaIr3
_chemical_formula_sum 'Ta1 Ir3'
_space_group_name_H-M_alt 'P 1'
_space_group_IT_number 1
_cell_length_a 3.925
_cell_length_b 3.925
_cell_length_c 3.925
_cell_angle_alpha 90.00
_cell_angle_beta 90.00
_cell_angle_gamma 90.00
loop_
_space_group_symop_operation_xyz
'x,y,z'
loop_
_atom_site_label
_atom_site_fract_x
_atom_site_fract_y
_atom_site_fract_z
_atom_site_occupancy
Ir1 0.500 0.000 0.500 1
Ir2 0.000 0.000 0.000 1
Ir3 0.000 0.500 0.500 1
Ta1 0.500 0.500 0.000 1
```

> Among the records above, which one has the lowest final energy?

TaIr3

> Number 4 is which compound?

Ce2ErGe2Pd2

> Look up the magnetic moment of the eighth one.

0.53 Bohr magnetons per cell